No. 1
Compound: Sm2DySc
Source: Alexandria
Functional: PBE
Structure: relaxed

Geometry as POSCAR:
```
Sm2DySc
1.0
1.772 1.023 11.325
-1.772 1.023 11.325
0.000 -2.046 11.325
Sm Dy Sc
2 1 1
direct
0.000 0.000 0.000
0.172 0.172 0.172
0.753 0.753 0.753
0.586 0.586 0.586
```

Summary:
distance to the lowest polymorph of the same formula	0.05	eV per formula unit
E_tot	-5.045	eV/atom
E_form	0.048	eV/atom
V	30.79	A^3/atom
N(E_F)	1.464	states/eV per atom

***

No. 2
Compound: AlBiRh
Source: Alexandria
Functional: PBE
Structure: relaxed

Geometry as POSCAR:
```
AlBiRh
1.0
3.323 0.000 0.000
0.000 3.914 0.000
-0.061 0.000 9.726
Al Bi Rh
2 2 2
direct
0.002 0.250 0.091
0.998 0.750 0.909
0.494 0.750 0.655
0.506 0.250 0.345
0.498 0.250 0.883
0.502 0.750 0.117
```

Summary:
E_tot	-5.459	eV/atom
E_form	-0.467	eV/atom
V	21.08	A^3/atom
N(E_F)	0.481	states/eV per atom

***

No. 3
Compound: RbSiH2
Source: Alexandria
Functional: PBE
Structure: relaxed

Geometry as POSCAR:
```
RbSiH2
1.0
0.000 3.230 3.230
3.230 0.000 3.230
3.230 3.230 0.000
Rb Si H
1 1 2
direct
0.000 0.000 0.000
0.500 0.500 0.500
0.250 0.250 0.250
0.750 0.750 0.750
```

Summary:
distance to the lowest polymorph of the same formula	3.83	eV per formula unit
E_tot	-2.346	eV/atom
V	16.85	A^3/atom
N(E_F)	0.224	states/eV per atom

***

No. 4
Compound: TaZnBr2
Source: Alexandria
Functional: PBE
Structure: relaxed

Geometry as POSCAR:
```
TaZnBr2
1.0
3.096 -4.601 0.000
3.096 4.601 0.000
-1.254 0.000 2.938
Ta Zn Br
1 1 2
direct
0.000 0.000 0.000
0.500 0.500 0.000
0.000 0.500 0.000
0.500 0.000 0.000
```

Summary:
distance to the lowest polymorph of the same formula	2.66	eV per formula unit
E_tot	-3.630	eV/atom
V	20.92	A^3/atom
N(E_F)	0.524	states/eV per atom

***

No. 5
Compound: Co2RhW
Source: Alexandria
Functional: PBE
Structure: relaxed

Geometry as POSCAR:
```
Co2RhW
1.0
0.000 2.973 2.973
2.973 0.000 2.973
2.973 2.973 0.000
Co Rh W
2 1 1
direct
0.000 0.000 0.000
0.250 0.250 0.250
0.750 0.750 0.750
0.500 0.500 0.500
```

Summary:
distance to the lowest polymorph of the same formula	1.11	eV per formula unit
E_tot	-8.428	eV/atom
E_form	0.201	eV/atom
V	13.13	A^3/atom
N(E_F)	1.433	states/eV per atom

***

No. 6
Compound: PrPu2In
Source: Alexandria
Functional: PBE
Structure: relaxed

Geometry as POSCAR:
```
PrPu2In
1.0
4.647 0.000 0.000
0.000 4.647 0.000
0.000 0.000 5.193
Pr Pu In
1 2 1
direct
0.000 0.000 0.000
0.000 0.500 0.500
0.500 0.000 0.500
0.500 0.500 0.000
```

Summary:
distance to the lowest polymorph of the same formula	0.00	eV per formula unit
E_tot	-9.132	eV/atom
E_form	-0.087	eV/atom
V	28.04	A^3/atom
N(E_F)	2.884	states/eV per atom

***

No. 7
Compound: Sm4BeBr5
Source: Alexandria
Functional: PBE
Structure: relaxed

Geometry as POSCAR:
```
Sm4BeBr5
1.0
9.254 -1.987 0.000
9.254 1.987 0.000
-1.959 0.000 8.429
Sm Be Br
4 1 5
direct
0.000 0.000 0.225
0.000 0.000 0.775
0.351 0.351 0.920
0.649 0.649 0.080
0.500 0.500 0.000
0.166 0.166 0.337
0.173 0.173 0.835
0.500 0.500 0.500
0.827 0.827 0.165
0.834 0.834 0.663
```

Summary:
E_tot	-4.380	eV/atom
V	31.00	A^3/atom
N(E_F)	0.320	states/eV per atom

***

No. 8
Compound: In2Ag2Sn
Source: Alexandria
Functional: PBE
Structure: relaxed

Geometry as POSCAR:
```
In2Ag2Sn
1.0
-2.130 2.130 6.631
2.130 -2.130 6.631
2.130 2.130 -6.631
In Ag Sn
2 2 1
direct
0.250 0.750 0.500
0.750 0.250 0.500
0.102 0.102 0.000
0.898 0.898 0.000
0.500 0.500 0.000
```

Summary:
distance to the lowest polymorph of the same formula	0.36	eV per formula unit
E_tot	-2.914	eV/atom
E_form	0.123	eV/atom
V	24.08	A^3/atom
N(E_F)	0.489	states/eV per atom

***

No. 9
Compound: Ac5SmDy
Source: Alexandria
Functional: PBE
Structure: relaxed

Geometry as POSCAR:
```
Ac5SmDy
1.0
3.478 -12.248 0.000
3.478 12.248 0.000
-1.657 0.000 6.994
Ac Sm Dy
10 2 2
direct
0.138 0.862 0.750
0.188 0.282 0.659
0.269 0.676 0.498
0.282 0.188 0.159
0.324 0.731 0.002
0.676 0.269 0.998
0.718 0.812 0.841
0.731 0.324 0.502
0.812 0.718 0.341
0.862 0.138 0.250
0.170 0.830 0.250
0.830 0.170 0.750
0.420 0.580 0.250
0.580 0.420 0.750
```

Summary:
E_tot	-4.037	eV/atom
E_form	0.230	eV/atom
V	42.56	A^3/atom
N(E_F)	1.479	states/eV per atom

***

No. 10
Compound: GdPuPtAu
Source: Alexandria
Functional: PBE
Structure: relaxed

Geometry as POSCAR:
```
GdPuPtAu
1.0
0.000 3.582 3.582
3.582 0.000 3.582
3.582 3.582 0.000
Gd Pu Pt Au
1 1 1 1
direct
0.000 0.000 0.000
0.500 0.500 0.500
0.750 0.750 0.750
0.250 0.250 0.250
```

Summary:
E_tot	-10.175	eV/atom
E_form	-0.742	eV/atom
V	22.98	A^3/atom
N(E_F)	3.205	states/eV per atom

***

No. 11
Compound: RbLiTl2Ni
Source: Alexandria
Functional: PBE
Structure: relaxed

Geometry as POSCAR:
```
RbLiTl2Ni
1.0
5.130 0.000 0.000
0.000 5.130 0.000
0.000 0.000 5.388
Rb Li Tl Ni
1 1 2 1
direct
0.000 0.000 0.000
0.500 0.500 0.000
0.000 0.500 0.500
0.500 0.000 0.500
0.500 0.500 0.500
```

Summary:
E_tot	-2.649	eV/atom
E_form	0.030	eV/atom
V	28.36	A^3/atom
N(E_F)	0.510	states/eV per atom

***

No. 12
Compound: BRh2Au
Source: Alexandria
Functional: PBE
Structure: relaxed

Geometry as POSCAR:
```
BRh2Au
1.0
2.737 0.000 0.000
0.000 2.737 0.000
0.000 0.000 6.978
B Rh Au
1 2 1
direct
0.000 0.000 0.000
0.500 0.500 0.184
0.500 0.500 0.816
0.000 0.000 0.500
```

Summary:
E_tot	-6.208	eV/atom
E_form	-0.043	eV/atom
V	13.07	A^3/atom
N(E_F)	0.903	states/eV per atom